(1)
Here is a relaxed structure of NpCdFe from OQMD. Energies are from PBE-GGA.

Output
Calculated formation energy: 0.871 eV/atom

The structure in CIF format:
```
data_NpCdFe
_chemical_formula_sum 'Np4 Cd4 Fe4'
_symmetry_space_group_name_H-M 'F -4 3 m'
_symmetry_Int_Tables_number 216
_symmetry_space_group_name_Hall 'F -4 2 3'
_cell_length_a 6.223
_cell_length_b 6.223
_cell_length_c 6.223
_cell_angle_alpha 90.00
_cell_angle_beta 90.00
_cell_angle_gamma 90.00
loop_
_atom_site_label
_atom_site_type_symbol
_atom_site_fract_x
_atom_site_fract_y
_atom_site_fract_z
Np1 Np 0.000 0.000 0.000
Cd1 Cd 0.000 0.000 0.500
Fe1 Fe 0.250 0.250 0.750
```

---

(2)
Here is a relaxed structure of CdFeSiOs from OQMD. Energies are from PBE-GGA.

Output
Offset from the most stable computed form: 0 meV/atom

The structure in CIF format:
```
data_CdFeSiOs
_chemical_formula_sum 'Cd4 Fe4 Si4 Os4'
_symmetry_space_group_name_H-M 'F -4 3 m'
_symmetry_Int_Tables_number 216
_symmetry_space_group_name_Hall 'F -4 2 3'
_cell_length_a 6.081
_cell_length_b 6.081
_cell_length_c 6.081
_cell_angle_alpha 90.00
_cell_angle_beta 90.00
_cell_angle_gamma 90.00
loop_
_atom_site_label
_atom_site_type_symbol
_atom_site_fract_x
_atom_site_fract_y
_atom_site_fract_z
Cd1 Cd 0.000 0.000 0.000
Fe1 Fe 0.250 0.250 0.750
Si1 Si 0.000 0.000 0.500
Os1 Os 0.250 0.250 0.250
```

---

(3)
Here is a relaxed structure of TlCdFeOs from OQMD. Energies are from PBE-GGA.

Output
Offset from the most stable computed form: 0 meV/atom

The structure in CIF format:
```
data_TlCdFeOs
_chemical_formula_sum 'Tl4 Cd4 Fe4 Os4'
_symmetry_space_group_name_H-M 'F -4 3 m'
_symmetry_Int_Tables_number 216
_symmetry_space_group_name_Hall 'F -4 2 3'
_cell_length_a 6.510
_cell_length_b 6.510
_cell_length_c 6.510
_cell_angle_alpha 90.00
_cell_angle_beta 90.00
_cell_angle_gamma 90.00
loop_
_atom_site_label
_atom_site_type_symbol
_atom_site_fract_x
_atom_site_fract_y
_atom_site_fract_z
Tl1 Tl 0.000 0.000 0.000
Cd1 Cd 0.000 0.000 0.500
Fe1 Fe 0.250 0.250 0.250
Os1 Os 0.250 0.250 0.750
```

---

(4)
Here is a relaxed structure of ZnCdFeOs from OQMD. Energies are from PBE-GGA.

Output
Offset from the most stable computed form: 0 meV/atom
Calculated formation energy: 0.472 eV/atom

The structure in CIF format:
```
data_ZnCdFeOs
_chemical_formula_sum 'Zn4 Cd4 Fe4 Os4'
_symmetry_space_group_name_H-M 'F -4 3 m'
_symmetry_Int_Tables_number 216
_symmetry_space_group_name_Hall 'F -4 2 3'
_cell_length_a 6.231
_cell_length_b 6.231
_cell_length_c 6.231
_cell_angle_alpha 90.00
_cell_angle_beta 90.00
_cell_angle_gamma 90.00
loop_
_atom_site_label
_atom_site_type_symbol
_atom_site_fract_x
_atom_site_fract_y
_atom_site_fract_z
Zn1 Zn 0.000 0.000 0.000
Cd1 Cd 0.250 0.250 0.750
Fe1 Fe 0.250 0.250 0.250
Os1 Os 0.000 0.000 0.500
```

---

(5)
Here is a relaxed structure of Cd2FeP2 from OQMD. Energies are from PBE-GGA.

Output
VASP energy: -4.093 eV/atom

The structure in CIF format:
```
data_Cd2FeP2
_chemical_formula_sum 'Cd2 Fe1 P2'
_symmetry_space_group_name_H-M 'P -3 m 1'
_symmetry_Int_Tables_number 164
_symmetry_space_group_name_Hall '-P 3 2"'
_cell_length_a 3.6836
_cell_length_b 3.6836
_cell_length_c 7.7058
_cell_angle_alpha 90.00
_cell_angle_beta 90.00
_cell_angle_gamma 120.00
loop_
_atom_site_label
_atom_site_type_symbol
_atom_site_fract_x
_atom_site_fract_y
_atom_site_fract_z
Cd1 Cd 0.3333 0.6667 0.1383
Fe1 Fe 0.0000 0.0000 0.5000
P1 P 0.3333 0.6667 0.6097
```

---

(6)
Here is a relaxed structure of PaCdFe from OQMD. Energies are from PBE-GGA.

Output
Offset from the most stable computed form: 0 meV/atom
Calculated formation energy: 0.315 eV/atom

The structure in CIF format:
```
data_PaCdFe
_chemical_formula_sum 'Pa4 Cd4 Fe4'
_symmetry_space_group_name_H-M 'F -4 3 m'
_symmetry_Int_Tables_number 216
_symmetry_space_group_name_Hall 'F -4 2 3'
_cell_length_a 6.336
_cell_length_b 6.336
_cell_length_c 6.336
_cell_angle_alpha 90.00
_cell_angle_beta 90.00
_cell_angle_gamma 90.00
loop_
_atom_site_label
_atom_site_type_symbol
_atom_site_fract_x
_atom_site_fract_y
_atom_site_fract_z
Pa1 Pa 0.000 0.000 0.000
Cd1 Cd 0.000 0.000 0.500
Fe1 Fe 0.250 0.250 0.250
```